# 1
Compound: Ba4Ac3NdS8
Source: the Alexandria database
Functional: PBE-GGA
Structure: relaxed

## Properties
N(E_F) ... 6.6 states/eV/cell
Crystal system ... trigonal
Formation energy without anion corrections ... -2.03 eV per atom

Geometry as POSCAR:
```
Ba4Ac3NdS8
1.0
4.363 2.519 7.257
-4.363 2.519 7.257
0.000 -5.037 7.257
Ba Ac Nd S
4 3 1 8
Cartesian
0.000 0.000 0.000
-2.181 -1.259 7.257
-2.181 1.259 14.514
0.000 2.519 7.257
-4.363 0.000 10.886
-2.181 1.259 3.629
2.181 1.259 3.629
0.000 0.000 10.886
0.000 0.000 5.314
-2.131 -1.230 12.534
0.000 -2.461 9.237
-2.131 1.230 9.237
2.131 -1.230 12.534
0.000 2.461 12.534
2.131 1.230 9.237
0.000 0.000 16.458
```


# 2
Compound: PrZnP2Rh5
Source: the Alexandria database
Functional: PBE-GGA
Structure: relaxed

## Properties
N(E_F) ... 4.0 states/eV/cell
Crystal system ... tetragonal
Energy relative to the elements ... -536 kJ/mol of formula units

Geometry as POSCAR:
```
PrZnP2Rh5
1.0
4.124 0.000 0.000
0.000 4.124 0.000
0.000 0.000 9.400
Pr Zn P Rh
1 1 2 5
Cartesian
0.000 0.000 0.000
0.000 0.000 4.700
2.062 2.062 2.257
2.062 2.062 7.143
0.000 2.062 3.189
0.000 2.062 6.211
2.062 0.000 3.189
2.062 0.000 6.211
2.062 2.062 0.000
```


# 3
Compound: CaCuSi2
Source: the Alexandria database
Functional: PBE-GGA
Structure: relaxed

## Properties
N(E_F) ... 2.1 states/eV/cell
Crystal system ... cubic
Formation energy without anion corrections ... 0.19 eV per atom

Geometry as POSCAR:
```
CaCuSi2
1.0
0.000 3.278 3.278
3.278 0.000 3.278
3.278 3.278 0.000
Ca Cu Si
1 1 2
Cartesian
0.000 0.000 0.000
4.917 4.917 4.917
1.639 1.639 1.639
3.278 3.278 3.278
```


# 4
Compound: La6NiRh2Cl3
Source: the Alexandria database
Functional: PBE-GGA
Structure: relaxed

## Properties
N(E_F) ... 7.0 states/eV/cell
Crystal system ... monoclinic
Formation energy without anion corrections ... -1.18 eV per atom

Geometry as POSCAR:
```
La6NiRh2Cl3
1.0
9.743 -2.072 0.000
9.743 2.072 0.000
-3.068 0.000 8.488
La Ni Rh Cl
6 1 2 3
Cartesian
-0.486 0.000 1.880
4.947 0.000 3.758
3.952 0.000 7.578
12.465 0.000 0.910
11.471 0.000 4.730
16.903 0.000 6.608
9.743 0.000 0.000
2.220 0.000 2.807
14.197 0.000 5.681
0.669 0.000 7.074
8.209 0.000 4.244
15.748 0.000 1.413
```


# 5
Compound: SrThZn2
Source: the Alexandria database
Functional: PBE-GGA
Structure: relaxed

## Properties
N(E_F) ... 4.7 states/eV/cell
Relative energy among the computed polymorphs ... 111 meV per atom
Crystal system ... cubic
Energy relative to the elements ... -20 kJ/mol of formula units

Geometry as POSCAR:
```
SrThZn2
1.0
0.000 3.758 3.758
3.758 0.000 3.758
3.758 3.758 0.000
Sr Th Zn
1 1 2
Cartesian
0.000 0.000 0.000
3.758 3.758 3.758
1.879 1.879 1.879
5.638 5.638 5.638
```


# 6
Compound: Pr8SbSe6
Source: the Alexandria database
Functional: PBE-GGA
Structure: relaxed

## Properties
N(E_F) ... 9.4 states/eV/cell
Crystal system ... trigonal
Formation energy without anion corrections ... -1.43 eV per atom

Geometry as POSCAR:
```
Pr8SbSe6
1.0
10.883 0.000 0.000
-5.441 9.425 0.000
0.000 0.000 4.320
Pr Sb Se
8 1 6
Cartesian
-3.502 6.700 1.106
1.390 3.042 1.106
3.330 0.318 3.214
0.000 6.283 3.232
5.441 3.142 1.089
2.112 9.107 1.106
4.052 6.383 3.214
8.943 2.725 3.214
0.000 0.000 2.160
-1.198 4.545 1.073
-0.906 8.190 1.073
3.337 3.310 3.247
2.104 6.115 1.073
6.348 1.235 3.247
6.639 4.880 3.247
```


# 7
Compound: NpNiPS
Source: the Alexandria database
Functional: PBE-GGA
Structure: relaxed

## Properties
N(E_F) ... 21.1 states/eV/cell
Crystal system ... tetragonal
Formation energy without anion corrections ... -0.80 eV per atom

Geometry as POSCAR:
```
NpNiPS
1.0
3.865 0.000 0.000
0.000 3.865 0.000
0.000 0.000 8.739
Np Ni P S
2 2 2 2
Cartesian
0.966 0.966 1.956
2.899 2.899 6.783
0.966 2.899 4.369
2.899 0.966 4.369
0.966 0.966 5.647
2.899 2.899 3.091
0.966 2.899 0.000
2.899 0.966 0.000
```


# 8
Compound: K2LiVS4
Source: the Alexandria database
Functional: PBE-GGA
Structure: relaxed

## Properties
Relative energy among the computed polymorphs ... 22 meV per atom
Crystal system ... orthorhombic
Formation energy without anion corrections ... -1.14 eV per atom

Geometry as POSCAR:
```
K2LiVS4
1.0
0.000 6.459 11.679
2.843 0.000 11.679
2.843 6.459 0.000
K Li V S
4 2 2 8
Cartesian
2.133 4.844 1.270
3.554 8.074 7.109
2.133 4.844 16.248
3.554 8.074 22.088
0.711 1.615 2.920
4.976 11.303 20.438
2.133 4.844 8.759
3.554 8.074 14.599
3.392 3.586 7.527
3.392 6.102 9.991
4.814 6.816 15.831
4.814 9.331 13.366
0.873 3.586 9.991
0.873 6.102 7.527
2.295 6.816 13.366
2.295 9.331 15.831
```


# 9
Compound: LuPaZn2
Source: the Alexandria database
Functional: PBE-GGA
Structure: relaxed

## Properties
N(E_F) ... 5.3 states/eV/cell
Relative energy among the computed polymorphs ... 0 meV per atom
Crystal system ... tetragonal
Energy relative to the elements ... -50 kJ/mol of formula units

Geometry as POSCAR:
```
LuPaZn2
1.0
3.191 0.000 0.000
0.000 3.191 0.000
0.000 0.000 8.227
Lu Pa Zn
1 1 2
Cartesian
0.000 0.000 0.000
0.000 0.000 4.114
1.596 1.596 1.981
1.596 1.596 6.247
```


# 10
Compound: ReBr
Source: the Alexandria database
Functional: PBE-GGA
Structure: relaxed

## Properties
N(E_F) ... 2.9 states/eV/cell
Relative energy among the computed polymorphs ... 460 meV per atom
Crystal system ... hexagonal
Formation energy without anion corrections ... 0.69 eV per atom

Geometry as POSCAR:
```
ReBr
1.0
10.872 0.000 0.000
-5.436 9.415 0.000
0.000 0.000 3.383
Re Br
6 6
Cartesian
-2.256 4.067 0.846
-0.786 9.336 0.846
2.394 3.987 2.537
3.042 5.428 0.846
6.222 0.080 2.537
7.692 5.349 2.537
-0.080 3.216 2.537
-2.611 7.877 2.537
2.745 1.677 0.846
2.691 7.738 2.537
8.047 1.538 0.846
5.516 6.200 0.846
```


# 11
Compound: KMnCu2
Source: the Alexandria database
Functional: PBE-GGA
Structure: relaxed

## Properties
N(E_F) ... 2.8 states/eV/cell
Relative energy among the computed polymorphs ... 407 meV per atom
Crystal system ... cubic
Energy relative to the elements ... 318 kJ/mol of formula units

Geometry as POSCAR:
```
KMnCu2
1.0
0.000 3.408 3.408
3.408 0.000 3.408
3.408 3.408 0.000
K Mn Cu
1 1 2
Cartesian
0.000 0.000 0.000
3.408 3.408 3.408
1.704 1.704 1.704
5.111 5.111 5.111
```


# 12
Compound: Ac4Nd3Sm
Source: the Alexandria database
Functional: PBE-GGA
Structure: relaxed

## Properties
N(E_F) ... 29.2 states/eV/cell
Crystal system ... orthorhombic
Energy relative to the elements ... 27 kJ/mol of formula units

Geometry as POSCAR:
```
Ac4Nd3Sm
1.0
10.959 0.000 0.000
0.000 7.610 0.000
0.000 0.000 7.610
Ac Nd Sm
8 6 2
Cartesian
0.000 0.006 0.000
0.000 3.797 3.788
2.723 5.703 5.699
2.757 1.907 1.894
5.480 3.813 7.593
5.480 7.603 3.805
8.202 1.907 1.894
8.236 5.703 5.699
0.000 0.003 3.792
2.738 1.908 5.700
2.741 5.701 1.894
5.480 7.606 7.597
8.221 1.908 5.700
8.218 5.701 1.894
0.000 3.802 7.604
5.480 3.808 3.799
```